# 1
First-principles (PBE) data for a geometry-optimized DyYHgPt structure, as listed in the Alexandria database.

Computed properties:
E_form	-820	meV/atom
energy above the most stable polymorph in this dataset	45	meV per atom
E_tot	-5.1717	eV per atom
DOS at the Fermi energy	0.629	states/eV per atom

Unit cell a=5.098 b=5.098 c=5.098 alpha=60.00 beta=60.00 gamma=60.00
Sites, in units of the cell vectors:
Y 0.500 0.500 0.500
Pt 0.750 0.750 0.750
Hg 0.250 0.250 0.250
Dy 0.000 0.000 0.000

# 2
First-principles (PBE) data for a geometry-optimized LiTaSi structure, as listed in the Alexandria database.

Computed properties:
E_form (uncorrected)	0.20	eV/atom
E_tot	-6.1920	eV per atom
DOS at the Fermi energy	0.333	states/eV per atom

Unit cell a=4.172 b=4.172 c=4.172 alpha=60.00 beta=60.00 gamma=60.00
Sites, in units of the cell vectors:
Li 0.500 0.500 0.500
Si 0.750 0.750 0.750
Ta 0.000 0.000 0.000

# 3
First-principles (PBE) data for a geometry-optimized Ac2Hg3Rh2 structure, as listed in the Alexandria database.

Computed properties:
E_form	-480	meV/atom
energy above the most stable polymorph in this dataset	0	meV per atom
E_tot	-3.8836	eV per atom
DOS at the Fermi energy	0.690	states/eV per atom

Unit cell a=4.090 b=4.271 c=10.696 alpha=101.52 beta=90.00 gamma=90.00
Sites, in units of the cell vectors:
Ac 0.000 0.170 0.340
Ac 0.000 0.830 0.660
Rh 0.500 0.703 0.407
Rh 0.500 0.297 0.593
Hg 0.500 0.430 0.861
Hg 0.000 0.000 0.000
Hg 0.500 0.570 0.139